# 1
Here is a relaxed structure of Tb4Pu3Se8 from the Alexandria database. Energies are from GGA-PBE.

Output
Theoretical density   8.46 Mg/m³
Formation energy without anion corrections   -1.74 eV per atom
Electronic total energy   -7.695 eV per atom

Unit cell a=11.6061 b=11.6221 c=8.2117 alpha=90.00 beta=134.86 gamma=90.00
Closest atoms and distances in Å follow each position.
Space group C2/m (No. 12)
Unique sites:
1 Tb 0.0000 0.0000 0.0000 [2 per cell]  6 Se 2.91-2.92
2 Tb 0.0000 0.0000 0.5000 [2 per cell]  6 Se 2.88-2.90
3 Tb 0.2500 0.2500 0.0000 [4 per cell]  6 Se 2.90-2.91
4 Pu 0.0000 0.5000 0.5000 [2 per cell]  6 Se 2.91-2.94
5 Pu 0.2500 0.2500 0.5000 [4 per cell]  6 Se 2.90-2.91
6 Se 0.0000 0.2494 0.5000 [4 per cell]  3 Tb 2.90-2.91, 3 Pu 2.90-2.91
7 Se 0.0000 0.2510 0.0000 [4 per cell]  3 Tb 2.90-2.92, 2 Pu 2.91
8 Se 0.2490 0.0000 0.5002 [4 per cell]  2 Tb 2.89-2.91, 3 Pu 2.91
9 Se 0.2495 0.0000 0.9955 [4 per cell]  4 Tb 2.88-2.92, 1 Pu 2.94

---

# 2
Here is a relaxed structure of TbPuTeSe from the Alexandria database. Energies are from GGA-PBE.

Output
Theoretical density   9.26 Mg/m³
Formation energy without anion corrections   -1.45 eV per atom
Electronic total energy   -7.844 eV per atom

Unit cell a=4.2177 b=4.2177 c=21.2841 alpha=90.00 beta=90.00 gamma=120.00
Closest atoms and distances in Å follow each position.
Space group R3m (No. 160, hexagonal axes)
Unique sites:
1 Tb 0.0000 0.0000 0.0000 [3 per cell]  3 Se 2.90, 3 Te 3.10
2 Pu 0.0000 0.0000 0.5163 [3 per cell]  3 Se 2.93, 3 Te 3.14
3 Te 0.0000 0.0000 0.7567 [3 per cell]  3 Tb 3.10, 3 Pu 3.14
4 Se 0.0000 0.0000 0.2593 [3 per cell]  3 Tb 2.90, 3 Pu 2.93

---

# 3
Here is a relaxed structure of TbPu2Te2Se2 from the Alexandria database. Energies are from GGA-PBE.

Output
Theoretical density   7.80 Mg/m³
Formation energy without anion corrections   -1.11 eV per atom
Electronic total energy   -7.758 eV per atom

Unit cell a=5.3465 b=5.3465 c=15.7967 alpha=90.00 beta=90.00 gamma=90.00
Closest atoms and distances in Å follow each position.
Space group I4/mmm (No. 139)
Unique sites:
1 Tb 0.0000 0.0000 0.0000 [2 per cell]  4 Se 2.67, 2 Te 2.99
2 Pu 0.0000 0.0000 0.3826 [4 per cell]  1 Te 3.05, 4 Se 3.25
3 Te 0.0000 0.0000 0.1893 [4 per cell]  1 Tb 2.99, 1 Pu 3.05
4 Se 0.0000 0.5000 0.0000 [4 per cell]  2 Tb 2.67

---

> Which formula does entry 2 have?

TbPuTeSe